Here is a geometry-optimized Pr12Tm2Th structure from Alexandria. Energies are from PBE.

Output
uncorrected energy	-0.3484	Ry/atom
spin magnetization	0.00	μB per atom
volume	536.0	Å³/f.u.

```
data_Pr12Tm2Th
_cell_length_a 7.2170
_cell_length_b 11.7466
_cell_length_c 25.2900
_cell_angle_alpha 90.00
_cell_angle_beta 90.00
_cell_angle_gamma 90.00
_symmetry_space_group_name_H-M 'C m m e'
_symmetry_Int_Tables_number 67
_symmetry_space_group_name_Hall '-C 2a 2'
loop_
_atom_site_label
_atom_site_fract_x
_atom_site_fract_y
_atom_site_fract_z
Pr1 0.0000 0.0020 0.0731
Pr2 0.0000 0.0245 0.5600
Pr3 0.2314 0.2500 0.4127
Pr4 0.2488 0.2500 0.8731
Pr5 0.2500 0.0000 0.1997
Pr6 0.2500 0.0000 0.3237
Tm1 0.0000 0.2500 0.2665
Tm2 0.0000 0.2500 0.7305
Th1 0.0000 0.2500 0.9989
```